A plane-wave DFT calculation with PBE was carried out for a relaxed structure of CsAg3Bi.

The structure in extended XYZ format:
```
5
Lattice="5.693 0.000 0.000 0.000 5.693 0.000 0.000 0.000 5.693" Properties=species:S:1:pos:R:3 pbc="T T T"
Cs 2.847 2.847 2.847
Bi 0.000 0.000 0.000
Ag 0.000 2.847 0.000
Ag 0.000 0.000 2.847
Ag 2.847 0.000 0.000
```

The value obtained for the formation enthalpy at 0 K is 0.67 eV per formula unit. The calculation puts the raw total energy at -2.524 eV/atom. As for the density: 5.99 g/cm³.